LiBi5 | Alexandria | PBE | optimized geometry; ρ = 9.763 g/cm3; calculated formation energy = -1 kJ per mole of atoms; space-group type = No. 65
1.0
5.1176 0.0000 0.0000
0.0000 16.3590 0.0000
0.0000 0.0000 4.2738
Li Bi
2 10
Cartesian
0.0000 0.0000 0.0000 Li
2.5588 8.1795 0.0000 Li
0.0000 2.3836 2.1369 Bi
0.0000 5.4574 0.0000 Bi
0.0000 8.1795 2.1369 Bi
0.0000 10.9016 0.0000 Bi
0.0000 13.9755 2.1369 Bi
2.5588 0.0000 2.1369 Bi
2.5588 2.7221 0.0000 Bi
2.5588 5.7960 2.1369 Bi
2.5588 10.5631 2.1369 Bi
2.5588 13.6369 0.0000 Bi